# Na6Hg8Bi (PBE, relaxed)
data_Na6Hg8Bi
_symmetry_space_group_name_H-M 'P 1'
_symmetry_Int_Tables_number 1
_symmetry_space_group_name_Hall 'P 1'
_cell_length_a 7.4087
_cell_length_b 8.0837
_cell_length_c 8.4660
_cell_angle_alpha 74.60
_cell_angle_beta 88.74
_cell_angle_gamma 66.09
loop_
_atom_site_label
_atom_site_fract_x
_atom_site_fract_y
_atom_site_fract_z
Na1 0.0854 0.2189 0.2152
Na2 0.2600 0.4535 0.4503
Na3 0.4074 0.8824 0.8804
Na4 0.5926 0.1176 0.1196
Na5 0.7400 0.5465 0.5497
Na6 0.9146 0.7811 0.7848
Hg1 0.0460 0.1154 0.6022
Hg2 0.1703 0.3327 0.8283
Hg3 0.2799 0.5501 0.0602
Hg4 0.3811 0.7899 0.2678
Hg5 0.6189 0.2101 0.7322
Hg6 0.7201 0.4499 0.9398
Hg7 0.8297 0.6673 0.1717
Hg8 0.9540 0.8846 0.3978
Bi1 0.5000 0.0000 0.5000
# ρ = 7.3 g/cm3
# calculated formation energy = -0.1857 eV per atom